(1)
Here is a crystal of Sr2TeBr relaxed with PBEsol from Alexandria via LeMat-Bulk. Energies are from SCAN.

a b c (Å): 4.732 4.331 12.814
angles (deg): 90.00 90.00 90.00
Space group Amm2 (No. 38)
One atom of each set of equivalent atoms:
Sr1 0.000 0.000 0.000
Sr2 0.500 0.000 0.264
Te1 0.500 0.000 0.528
Br1 0.000 0.000 0.765

Computed properties:
E_form (uncorrected): -155.38 kJ per mole of atoms
Calculated total energy: -26.93 eV per atom
Fermi-level density of states: 5.0 states/eV/cell

***

(2)
Here is a crystal of CdAs3W relaxed with PBEsol from Alexandria via LeMat-Bulk. Energies are from SCAN.

a b c (Å): 4.917 4.917 4.917
angles (deg): 90.00 90.00 90.00
Space group Pm-3m (No. 221)
One atom of each set of equivalent atoms:
Cd1 0.000 0.000 0.000
As1 0.000 0.000 0.500
W1 0.500 0.500 0.500

Computed properties:
Calculated total energy: -30.25 eV per atom
Energy of formation: 9.43 eV/f.u.
Fermi-level density of states: 3.6 states/eV/cell